[1]
This record from Alexandria describes an optimized crystal structure of RbNa2In9. The functional is PBE.

It has space group R-3m (No. 166, hexagonal axes), with a = 6.4023 Å, b = 6.4023 Å, c = 30.5600 Å, α = 90.00°, β = 90.00° and γ = 120.00°. Symmetry generates all atoms from Rb at (0.0000, 0.0000, 0.0000), Na at (0.0000, 0.0000, 0.1412), In at (0.0000, 0.0000, 0.3368), In at (0.0000, 0.0000, 0.5000) and In at (0.0102, 0.5051, 0.9127).

For the theoretical density, the calculation gives 5.35 g cm⁻³. The value obtained for the density of states at the Fermi level is 6.93 states/eV/f.u. Its formation energy is -64.6 meV per atom. The total magnetization comes out at 0.000 μB per cell. The calculated volume comes out at 30.13 A^3/atom.

[2]
This record from Alexandria describes an optimized crystal structure of Li3NiRh. The functional is PBE.

It has space group Amm2 (No. 38), with a = 2.5484 Å, b = 4.5446 Å, c = 13.5750 Å, α = 90.00°, β = 90.00° and γ = 90.00°. Symmetry generates all atoms from Li at (0.0000, 0.0000, 0.0000), Li at (0.5000, 0.2405, 0.8035), Ni at (0.5000, 0.0000, 0.1541) and Rh at (0.0000, 0.0000, 0.6502).

For the theoretical density, the calculation gives 3.85 g cm⁻³. The value obtained for the density of states at the Fermi level is 4.02 states/eV/f.u. The calculation puts the relative energy among the computed polymorphs at 0.23 eV/f.u. Its formation energy is 115.4 meV per atom. The total magnetization comes out at 0.000 μB per cell. The calculated volume comes out at 15.72 A^3/atom.

[3]
This record from Alexandria describes an optimized crystal structure of MoAs2Au. The functional is PBE.

It has space group I-4m2 (No. 119), with a = 3.8541 Å, b = 3.8541 Å, c = 9.3413 Å, α = 90.00°, β = 90.00° and γ = 90.00°. Symmetry generates all atoms from Mo at (0.0000, 0.0000, 0.0000), As at (0.0000, 0.0000, 0.5000), As at (0.0000, 0.5000, 0.7500) and Au at (0.0000, 0.5000, 0.2500).

For the theoretical density, the calculation gives 10.60 g cm⁻³. The value obtained for the density of states at the Fermi level is 3.16 states/eV/f.u. The calculation puts the relative energy among the computed polymorphs at 1.25 eV/f.u. Its formation energy is 344.2 meV per atom. The total magnetization comes out at 2.094 μB per cell. The calculated volume comes out at 17.34 A^3/atom.

[4]
This record from Alexandria describes an optimized crystal structure of KTe2Os. The functional is PBE.

It has space group P4/mmm (No. 123), with a = 5.3605 Å, b = 5.3605 Å, c = 3.2816 Å, α = 90.00°, β = 90.00° and γ = 90.00°. Symmetry generates all atoms from K at (0.0000, 0.0000, 0.0000), Te at (0.0000, 0.5000, 0.5000) and Os at (0.5000, 0.5000, 0.0000).

For the theoretical density, the calculation gives 8.53 g cm⁻³. The value obtained for the density of states at the Fermi level is 4.30 states/eV/f.u. The calculation puts the relative energy among the computed polymorphs at 3.42 eV/f.u. The total magnetization comes out at 1.028 μB per cell. The calculated volume comes out at 23.57 A^3/atom.

[5]
This record from Alexandria describes an optimized crystal structure of Cs2ZnHg2. The functional is PBE.

It has space group P4/mbm (No. 127), with a = 9.0555 Å, b = 9.0555 Å, c = 5.4602 Å, α = 90.00°, β = 90.00° and γ = 90.00°. Symmetry generates all atoms from Cs at (0.1801, 0.3199, 0.0000), Zn at (0.0000, 0.0000, 0.5000) and Hg at (0.1238, 0.6238, 0.5000).

For the theoretical density, the calculation gives 5.43 g cm⁻³. The value obtained for the density of states at the Fermi level is 2.19 states/eV/f.u. The calculation puts the relative energy among the computed polymorphs at 0.00 eV/f.u. Its formation energy is -47.6 meV per atom. The total magnetization comes out at 0.000 μB per cell. The calculated volume comes out at 44.77 A^3/atom.

[6]
This record from Alexandria describes an optimized crystal structure of ReHg3H. The functional is PBE.

It has space group Pm-3m (No. 221), with a = 4.3573 Å, b = 4.3573 Å, c = 4.3573 Å, α = 90.00°, β = 90.00° and γ = 90.00°. Symmetry generates all atoms from Re at (0.0000, 0.0000, 0.0000), Hg at (0.0000, 0.5000, 0.5000) and H at (0.5000, 0.5000, 0.5000).

For the theoretical density, the calculation gives 15.84 g cm⁻³. The value obtained for the density of states at the Fermi level is 3.03 states/eV/f.u. The calculation puts the relative energy among the computed polymorphs at 0.00 eV/f.u. The total magnetization comes out at 1.017 μB per cell. The calculated volume comes out at 16.55 A^3/atom.

[7]
This record from Alexandria describes an optimized crystal structure of Ce8Te4P3Cl. The functional is PBE.

It has space group R-3m (No. 166, hexagonal axes), with a = 8.4504 Å, b = 8.4504 Å, c = 21.5778 Å, α = 90.00°, β = 90.00° and γ = 120.00°. Symmetry generates all atoms from Ce at (0.0000, 0.0000, 0.2378), Ce at (0.0075, 0.5037, 0.7614), Te at (0.0000, 0.0000, 0.0000), Te at (0.0000, 0.5000, 0.0000), P at (0.0000, 0.5000, 0.5000) and Cl at (0.0000, 0.0000, 0.5000).

For the theoretical density, the calculation gives 6.57 g cm⁻³. The value obtained for the density of states at the Fermi level is 47.98 states/eV/f.u. The total magnetization comes out at 21.552 μB per cell. The electronic total energy comes out at -6.339 eV per atom. The calculated volume comes out at 27.80 A^3/atom.

[8]
This record from Alexandria describes an optimized crystal structure of TmLuFeNi. The functional is PBE.

It has space group F-43m (No. 216), with a = 6.5648 Å, b = 6.5648 Å, c = 6.5648 Å, α = 90.00°, β = 90.00° and γ = 90.00°. Symmetry generates all atoms from Tm at (0.0000, 0.0000, 0.0000), Lu at (0.0000, 0.0000, 0.5000), Fe at (0.2500, 0.2500, 0.2500) and Ni at (0.2500, 0.2500, 0.7500).

For the theoretical density, the calculation gives 10.76 g cm⁻³. The value obtained for the density of states at the Fermi level is 2.00 states/eV/f.u. Its formation energy is -173.8 meV per atom. The total magnetization comes out at 0.099 μB per cell. The calculated volume comes out at 17.68 A^3/atom.

[9]
This record from Alexandria describes an optimized crystal structure of La8CeNd4. The functional is PBE.

It has space group R-3m (No. 166, hexagonal axes), with a = 12.0141 Å, b = 12.0141 Å, c = 11.7216 Å, α = 90.00°, β = 90.00° and γ = 120.00°. Symmetry generates all atoms from La at (0.0000, 0.0000, 0.2493), La at (0.0036, 0.5018, 0.6688), Ce at (0.0000, 0.0000, 0.5000), Nd at (0.0000, 0.0000, 0.0000) and Nd at (0.0000, 0.5000, 0.0000).

For the theoretical density, the calculation gives 6.22 g cm⁻³. The value obtained for the density of states at the Fermi level is 29.80 states/eV/f.u. Its formation energy is 358.2 meV per atom. The total magnetization comes out at 3.026 μB per cell. The calculated volume comes out at 37.57 A^3/atom.

[10]
This record from Alexandria describes an optimized crystal structure of In2ReW. The functional is PBE.

It has space group R-3m (No. 166, hexagonal axes), with a = 2.9777 Å, b = 2.9777 Å, c = 28.2606 Å, α = 90.00°, β = 90.00° and γ = 120.00°. Symmetry generates all atoms from In at (0.0000, 0.0000, 0.2484), Re at (0.0000, 0.0000, 0.5000) and W at (0.0000, 0.0000, 0.0000).

For the theoretical density, the calculation gives 13.77 g cm⁻³. The value obtained for the density of states at the Fermi level is 2.90 states/eV/f.u. The calculation puts the relative energy among the computed polymorphs at 1.75 eV/f.u. Its formation energy is 699.3 meV per atom. The total magnetization comes out at 0.000 μB per cell. The calculated volume comes out at 18.08 A^3/atom.

[11]
This record from Alexandria describes an optimized crystal structure of HfTi3V. The functional is PBE.

It has space group Cmcm (No. 63), with a = 5.7182 Å, b = 12.0948 Å, c = 5.1740 Å, α = 90.00°, β = 90.00° and γ = 90.00°. Symmetry generates all atoms from Hf at (0.0000, 0.0850, 0.2500), Ti at (0.0000, 0.3194, 0.7500), Ti at (0.2430, 0.3524, 0.2500) and V at (0.0000, 0.5000, 0.0000).

For the theoretical density, the calculation gives 6.92 g cm⁻³. The value obtained for the density of states at the Fermi level is 9.87 states/eV/f.u. The calculation puts the relative energy among the computed polymorphs at 0.00 eV/f.u. Its formation energy is 193.8 meV per atom. The total magnetization comes out at 0.007 μB per cell. The calculated volume comes out at 17.89 A^3/atom.

[12]
This record from Alexandria describes an optimized crystal structure of CrMo2Ir. The functional is PBE.

It has space group F-43m (No. 216), with a = 6.2052 Å, b = 6.2052 Å, c = 6.2052 Å, α = 90.00°, β = 90.00° and γ = 90.00°. Symmetry generates all atoms from Cr at (0.0000, 0.0000, 0.0000), Mo at (0.0000, 0.0000, 0.5000), Mo at (0.2500, 0.2500, 0.2500) and Ir at (0.2500, 0.2500, 0.7500).

For the theoretical density, the calculation gives 12.12 g cm⁻³. The value obtained for the density of states at the Fermi level is 3.34 states/eV/f.u. The calculation puts the relative energy among the computed polymorphs at 0.18 eV/f.u. Its formation energy is 62.0 meV per atom. The total magnetization comes out at 10.897 μB per cell. The calculated volume comes out at 14.93 A^3/atom.

[13]
This record from Alexandria describes an optimized crystal structure of PmZnP2Ir5. The functional is PBE.

It has space group P4/mmm (No. 123), with a = 4.0626 Å, b = 4.0626 Å, c = 9.8221 Å, α = 90.00°, β = 90.00° and γ = 90.00°. Symmetry generates all atoms from Pm at (0.0000, 0.0000, 0.0000), Zn at (0.0000, 0.0000, 0.5000), P at (0.5000, 0.5000, 0.2320), Ir at (0.0000, 0.5000, 0.3398) and Ir at (0.5000, 0.5000, 0.0000).

For the theoretical density, the calculation gives 12.63 g cm⁻³. The value obtained for the density of states at the Fermi level is 4.79 states/eV/f.u. Its formation energy is -390.2 meV per atom. The total magnetization comes out at 0.000 μB per cell. The calculated volume comes out at 18.01 A^3/atom.

[14]
This record from Alexandria describes an optimized crystal structure of SrTa2Cd. The functional is PBE.

It has space group I4/mmm (No. 139), with a = 4.2485 Å, b = 4.2485 Å, c = 10.1724 Å, α = 90.00°, β = 90.00° and γ = 90.00°. Symmetry generates all atoms from Sr at (0.0000, 0.0000, 0.0000), Ta at (0.0000, 0.5000, 0.2500) and Cd at (0.0000, 0.0000, 0.5000).

For the theoretical density, the calculation gives 10.16 g cm⁻³. The value obtained for the density of states at the Fermi level is 5.52 states/eV/f.u. Its formation energy is 885.9 meV per atom. The total magnetization comes out at 0.000 μB per cell. The calculated volume comes out at 22.95 A^3/atom.

[15]
This record from Alexandria describes an optimized crystal structure of CrTe2I. The functional is PBE.

It has space group P1 (No. 1), with a = 6.8057 Å, b = 7.5050 Å, c = 7.6529 Å, α = 65.03°, β = 68.89° and γ = 67.85°. Symmetry generates all atoms from Cr at (0.0000, 0.0000, 0.0000), Cr at (0.0121, 0.3664, 0.0255), Te at (0.0787, 0.3199, 0.6846), Te at (0.3573, 0.8629, 0.7537), Te at (0.4210, 0.4334, 0.8481), Te at (0.6373, 0.2465, 0.1645), I at (0.1432, 0.9920, 0.2937) and I at (0.8087, 0.7003, 0.1298).

For the theoretical density, the calculation gives 4.52 g cm⁻³. The value obtained for the density of states at the Fermi level is 1.14 states/eV/f.u. The calculation puts the relative energy among the computed polymorphs at 0.60 eV/f.u. The total magnetization comes out at 6.000 μB per cell. The calculated volume comes out at 39.83 A^3/atom.

[16]
This record from Alexandria describes an optimized crystal structure of AlZn2RhW. The functional is PBE.

It has space group P4/mmm (No. 123), with a = 4.4577 Å, b = 4.4577 Å, c = 4.3404 Å, α = 90.00°, β = 90.00° and γ = 90.00°. Symmetry generates all atoms from Al at (0.0000, 0.0000, 0.0000), Zn at (0.0000, 0.5000, 0.0000), Rh at (0.0000, 0.0000, 0.5000) and W at (0.5000, 0.5000, 0.5000).

For the theoretical density, the calculation gives 8.56 g cm⁻³. The value obtained for the density of states at the Fermi level is 5.14 states/eV/f.u. Its formation energy is 1194.1 meV per atom. The total magnetization comes out at 0.000 μB per cell. The calculated volume comes out at 17.25 A^3/atom.

[17]
This record from Alexandria describes an optimized crystal structure of BeFe2NCl. The functional is PBE.

It has space group P4/mmm (No. 123), with a = 3.5328 Å, b = 3.5328 Å, c = 5.9038 Å, α = 90.00°, β = 90.00° and γ = 90.00°. Symmetry generates all atoms from Be at (0.0000, 0.0000, 0.0000), Fe at (0.0000, 0.5000, 0.5000), N at (0.5000, 0.5000, 0.5000) and Cl at (0.5000, 0.5000, 0.0000).

For the theoretical density, the calculation gives 3.83 g cm⁻³. The value obtained for the density of states at the Fermi level is 4.31 states/eV/f.u. The total magnetization comes out at 2.784 μB per cell. The electronic total energy comes out at -5.717 eV per atom. The calculated volume comes out at 14.74 A^3/atom.

[18]
This record from Alexandria describes an optimized crystal structure of Tm2Ag3Hg4. The functional is PBE.

It has space group Cmce (No. 64), with a = 6.0182 Å, b = 15.3996 Å, c = 8.8444 Å, α = 90.00°, β = 90.00° and γ = 90.00°. Symmetry generates all atoms from Tm at (0.0000, 0.1179, 0.0611), Ag at (0.0000, 0.0000, 0.5000), Ag at (0.2500, 0.2228, 0.7500), Hg at (0.0000, 0.1826, 0.4699) and Hg at (0.2500, 0.0346, 0.7500).

For the theoretical density, the calculation gives 11.86 g cm⁻³. The value obtained for the density of states at the Fermi level is 3.77 states/eV/f.u. Its formation energy is -151.8 meV per atom. The total magnetization comes out at 0.000 μB per cell. The calculated volume comes out at 22.77 A^3/atom.

[19]
This record from Alexandria describes an optimized crystal structure of BeC. The functional is PBE.

It has space group Cm (No. 8), with a = 8.5059 Å, b = 2.6940 Å, c = 4.9974 Å, α = 90.00°, β = 108.80° and γ = 90.00°. Symmetry generates all atoms from Be at (0.0000, 0.0000, 0.0000), Be at (0.0585, 0.0000, 0.5939), Be at (0.2450, 0.5000, 0.3798), C at (0.0355, 0.5000, 0.3120), C at (0.3955, 0.0000, 0.4291) and C at (0.4706, 0.0000, 0.7489).

For the theoretical density, the calculation gives 1.93 g cm⁻³. The value obtained for the density of states at the Fermi level is 0.24 states/eV/f.u. The calculation puts the relative energy among the computed polymorphs at 0.78 eV/f.u. Its formation energy is 710.6 meV per atom. The total magnetization comes out at 0.000 μB per cell. The calculated volume comes out at 9.03 A^3/atom.

[20]
This record from Alexandria describes an optimized crystal structure of Ba2TcAu. The functional is PBE.

It has space group C2/m (No. 12), with a = 8.2577 Å, b = 3.7558 Å, c = 8.8756 Å, α = 90.00°, β = 100.11° and γ = 90.00°. Symmetry generates all atoms from Ba at (0.2505, 0.0000, 0.2424), Tc at (0.0000, 0.5000, 0.0000) and Au at (0.0000, 0.0000, 0.5000).

For the theoretical density, the calculation gives 6.98 g cm⁻³. The value obtained for the density of states at the Fermi level is 4.33 states/eV/f.u. The calculation puts the relative energy among the computed polymorphs at 1.45 eV/f.u. Its formation energy is 519.1 meV per atom. The total magnetization comes out at 4.183 μB per cell. The calculated volume comes out at 33.87 A^3/atom.